The following is a meta-GGA SCAN calculation of a PBEsol-optimized structure of LaAu2, from Alexandria via LeMat-Bulk.

Lattice parameters (Å, degrees): 4.6766 5.9264 5.9229 73.92 66.75 66.76
With the nearest neighbours (Å) after each atom.
Element x y z (fractional)
La1 0.0329 0.2172 0.7170  12 Au 3.21-3.40
La2 0.9671 0.7828 0.2830  12 Au 3.21-3.40
Au1 0.3361 0.1985 0.1292  3 Au 2.73-2.74
Au2 0.6639 0.3709 0.3013  3 Au 2.73-2.74
Au3 0.3361 0.6291 0.6987  3 Au 2.73-2.74
Au4 0.6639 0.8015 0.8708  3 Au 2.73-2.74

Computed properties:
- Space-group type: Imma (74)
- Magnetization: 0.0 Bohr magnetons per cell
- V: 137.2 Å³/cell
- Formation enthalpy at 0 K: -3.06 eV per formula unit